[1]
12
Lattice="4.5843 0.0000 0.0000 0.0000 6.0881 0.0000 -0.2835 0.0000 4.5798" Properties=species:S:1:pos:R:3 comment="Ga2CoIO8 PBE with a Hubbard U optimized geometry" spacegroup=P2/m dos_at_fermi_per_ev_atom=0.065 density_g_cm3=5.889 pbc="T T T"
Ga 0.0000 1.4626 0.0000
Ga 0.0000 4.6255 0.0000
Co 2.1504 0.0000 2.2899
I 2.1504 3.0441 2.2899
O 0.8406 3.0441 0.8875
O 0.8706 0.0000 0.9216
O 1.2305 1.6119 3.1493
O 1.2305 4.4762 3.1493
O 3.0703 1.6119 1.4305
O 3.0703 4.4762 1.4305
O 3.4302 0.0000 3.6582
O 3.4602 3.0441 3.6923


[2]
5
Lattice="5.7222 0.0000 0.0000 0.0000 5.7222 0.0000 0.0000 0.0000 3.6478" Properties=species:S:1:pos:R:3 comment="GaCoI2O PBE with a Hubbard U optimized geometry" spacegroup=P4/mmm dos_at_fermi_per_ev_atom=0.664 polymorph_energy_mev_per_atom=259.5 density_g_cm3=5.540 pbc="T T T"
Ga 0.0000 0.0000 0.0000
Co 2.8611 2.8611 1.8239
I 0.0000 2.8611 0.0000
I 2.8611 0.0000 0.0000
O 0.0000 0.0000 1.8239


[3]
5
Lattice="5.9760 0.0000 0.0000 0.0000 5.9760 0.0000 0.0000 0.0000 3.5981" Properties=species:S:1:pos:R:3 comment="GaCoI2O PBE with a Hubbard U optimized geometry" spacegroup=P4/mmm dos_at_fermi_per_ev_atom=0.440 polymorph_energy_mev_per_atom=0.0 density_g_cm3=5.149 pbc="T T T"
Ga 0.0000 0.0000 0.0000
Co 2.9880 2.9880 1.7991
I 0.0000 2.9880 1.7991
I 2.9880 0.0000 1.7991
O 2.9880 2.9880 0.0000


| no. | final energy (eV per atom) |
| --- | --- |
| 1 | -5.36 |
| 2 | -3.23 |
| 3 | -3.49 |